[1]
La2HgSb (PBE, optimized geometry); total moment = 0.0 μB/cell; energy above the most stable polymorph in this dataset = 0.023 eV per atom; formation energy (no corrections) = -0.81 eV per atom; calculated density = 8.2 g cm⁻³
1.0
4.078 0.000 0.000
0.000 4.078 0.000
0.000 0.000 7.279
La Hg Sb
2 1 1
Direct
0.000 0.000 0.240 La
0.000 0.000 0.760 La
0.500 0.500 0.500 Hg
0.500 0.500 0.000 Sb


[2]
Tl2Ag2Br5 (PBE, optimized geometry); total moment = 0.0 μB/cell; energy above the most stable polymorph in this dataset = 0.006 eV per atom; formation energy (no corrections) = -0.52 eV per atom; calculated density = 5.6 g cm⁻³
1.0
5.294 0.000 0.000
0.000 5.294 0.000
0.000 0.000 10.829
Tl Ag Br
2 2 5
Direct
0.000 0.000 0.000 Tl
0.000 0.000 0.500 Tl
0.500 0.500 0.239 Ag
0.500 0.500 0.761 Ag
0.000 0.500 0.205 Br
0.000 0.500 0.795 Br
0.500 0.000 0.205 Br
0.500 0.000 0.795 Br
0.500 0.500 0.500 Br


[3]
Sr2CdBi2 (PBE, optimized geometry); total moment = 0.0 μB/cell; energy of formation from the pure elements = -0.4530 eV per atom; calculated density = 6.4 g cm⁻³
1.0
9.760 0.000 0.000
0.000 9.760 0.000
0.000 0.000 3.844
Sr Cd Bi
4 2 4
Direct
0.138 0.362 0.000 Sr
0.362 0.862 0.000 Sr
0.638 0.138 0.000 Sr
0.862 0.638 0.000 Sr
0.000 0.000 0.000 Cd
0.500 0.500 0.000 Cd
0.164 0.664 0.500 Bi
0.336 0.164 0.500 Bi
0.664 0.836 0.500 Bi
0.836 0.336 0.500 Bi


[4]
MnNbPd2 (PBE, optimized geometry); total moment = 0.1 μB/cell; energy of formation from the pure elements = 0.2560 eV per atom; energy above the most stable polymorph in this dataset = 0.505 eV per atom; calculated density = 9.8 g cm⁻³
1.0
0.000 3.131 3.131
3.131 0.000 3.131
3.131 3.131 0.000
Mn Nb Pd
1 1 2
Direct
0.000 0.000 0.000 Mn
0.500 0.500 0.500 Nb
0.250 0.250 0.250 Pd
0.750 0.750 0.750 Pd